(1)
Entry from Alexandria: a relaxed AgAuOF2 crystal (PBE-GGA).

Cell: 5.627 5.627 7.163 Å, 90.00 90.00 142.44°
Sites, in units of the cell vectors:
Ag (0.240, 0.760, 0.750)
Ag (0.760, 0.240, 0.250)
Au (0.500, 0.500, 0.000)
Au (0.500, 0.500, 0.500)
O (0.412, 0.588, 0.250)
O (0.588, 0.412, 0.750)
F (0.138, 0.862, 0.063)
F (0.138, 0.862, 0.437)
F (0.862, 0.138, 0.563)
F (0.862, 0.138, 0.937)

Properties
E_tot: -3.526 eV per atom
Energy above the lowest structure with this stoichiometry: 0 meV per atom
DOS at the Fermi energy: 4.9 states/eV/cell

(2)
Entry from Alexandria: a relaxed AgAuOF2 crystal (PBE-GGA).

Cell: 4.511 4.511 3.922 Å, 90.00 90.00 90.00°
Sites, in units of the cell vectors:
Ag (0.000, 0.000, 0.000)
Au (0.500, 0.500, 0.500)
O (0.500, 0.500, 0.000)
F (0.000, 0.500, 0.500)
F (0.500, 0.000, 0.500)

Properties
E_tot: -3.329 eV per atom
Energy above the lowest structure with this stoichiometry: 196 meV per atom
DOS at the Fermi energy: 4.2 states/eV/cell

(3)
Entry from Alexandria: a relaxed AgAuOF2 crystal (PBE-GGA).

Cell: 4.210 4.210 4.208 Å, 90.00 90.00 90.00°
Sites, in units of the cell vectors:
Ag (0.000, 0.000, 0.000)
Au (0.500, 0.500, 0.500)
O (0.000, 0.000, 0.500)
F (0.000, 0.500, 0.000)
F (0.500, 0.000, 0.000)

Properties
E_tot: -3.113 eV per atom
Energy above the lowest structure with this stoichiometry: 412 meV per atom
DOS at the Fermi energy: 2.8 states/eV/cell